An optimized crystal structure of ErAgTe3. Source: Alexandria, functional PBE.

Values from the calculation:
DFT total energy	-39.81	eV for the cell shown
volume	29.0	A^3/atom

abc: 4.2618 6.2427 10.9088
angles: 90.00 90.00 90.00
Space group Pmmn (No. 59, origin choice 2)
Asymmetric unit:
Er 0.2500 0.2500 0.1456 [2 per cell]
Ag 0.2500 0.7500 0.4585 [2 per cell]
Te 0.2500 0.5058 0.6859 [4 per cell]
Te 0.2500 0.7500 0.0552 [2 per cell]

=====

An optimized crystal structure of TaTcRh4. Source: Alexandria, functional PBE.

Values from the calculation:
DFT formation energy	0.09	eV per atom
DFT total energy	-204.41	eV for the cell shown
volume	15.3	A^3/atom

abc: 7.1673 7.1673 7.1673
angles: 90.00 90.00 90.00
Space group F-43m (No. 216)
Asymmetric unit:
Ta 0.0000 0.0000 0.0000 [4 per cell]
Tc 0.2500 0.2500 0.7500 [4 per cell]
Rh 0.1245 0.1245 0.3755 [16 per cell]